The following is a DFT calculation (PBE) of Tc2SbIrRu after structural relaxation.

Calculated values
The value obtained for the uncorrected energy is -7.060 eV per atom. The calculation puts the uncorrected formation energy at 1.54 eV per atom. As for the density: 9.62 g/cm3.

Geometry as CIF:
```
data_Tc2SbIrRu
_chemical_formula_sum 'Tc2 Sb1 Ir1 Ru1'
_cell_length_a 4.7152
_cell_length_b 4.7462
_cell_length_c 4.7152
_cell_angle_alpha 90.00
_cell_angle_beta 90.00
_cell_angle_gamma 90.00
_space_group_name_H-M_alt 'P 1'
_space_group_IT_number 1
loop_
_space_group_symop_operation_xyz
'x,y,z'
loop_
_atom_site_label
_atom_site_fract_x
_atom_site_fract_y
_atom_site_fract_z
Sb1 0.5000 0.5000 0.5000
Ir1 0.0000 0.0000 0.0000
Tc1 0.0000 0.0000 0.5000
Tc2 0.5000 0.0000 0.0000
Ru1 0.0000 0.5000 0.0000
```

The following is a DFT calculation (PBE) of Tb2ThZn after structural relaxation.

Calculated values
The energy relative to the elements is -0.65 eV/f.u. The value obtained for the uncorrected energy is -4.651 eV per atom. As for the density: 9.34 g/cm3. The calculation puts the polymorph energy (0 for the lowest one) at 0 meV/atom.

Geometry as CIF:
```
data_Tb2ThZn
_chemical_formula_sum 'Tb2 Th1 Zn1'
_cell_length_a 3.5723
_cell_length_b 3.5723
_cell_length_c 8.5744
_cell_angle_alpha 90.00
_cell_angle_beta 90.00
_cell_angle_gamma 90.00
_space_group_name_H-M_alt 'P 1'
_space_group_IT_number 1
loop_
_space_group_symop_operation_xyz
'x,y,z'
loop_
_atom_site_label
_atom_site_fract_x
_atom_site_fract_y
_atom_site_fract_z
Zn1 0.5000 0.5000 0.0000
Tb1 0.0000 0.0000 0.7881
Tb2 0.0000 0.0000 0.2119
Th1 0.5000 0.5000 0.5000
```

The following is a DFT calculation (PBE) of VSI after structural relaxation.

Calculated values
The value obtained for the uncorrected energy is -5.238 eV per atom. The calculation puts the uncorrected formation energy at -0.31 eV per atom. As for the density: 3.12 g/cm3.

Geometry as CIF:
```
data_VSI
_chemical_formula_sum 'V2 S2 I2'
_cell_length_a 4.5615
_cell_length_b 7.0288
_cell_length_c 7.6375
_cell_angle_alpha 106.21
_cell_angle_beta 107.38
_cell_angle_gamma 90.00
_space_group_name_H-M_alt 'P 1'
_space_group_IT_number 1
loop_
_space_group_symop_operation_xyz
'x,y,z'
loop_
_atom_site_label
_atom_site_fract_x
_atom_site_fract_y
_atom_site_fract_z
V1 0.0001 0.7038 0.0002
V2 0.9999 0.2962 0.9998
S1 0.8780 0.4263 0.7559
S2 0.1220 0.5737 0.2441
I1 0.8684 0.9202 0.7368
I2 0.1316 0.0798 0.2632
```

The following is a DFT calculation (PBE) of Nd12Sm2Y after structural relaxation.

Calculated values
The energy relative to the elements is 2.26 eV/f.u. The value obtained for the uncorrected energy is -4.724 eV per atom. As for the density: 6.61 g/cm3.

Geometry as CIF:
```
data_Nd12Sm2Y
_chemical_formula_sum 'Nd24 Sm4 Y2'
_cell_length_a 6.8757
_cell_length_b 6.8757
_cell_length_c 25.1775
_cell_angle_alpha 90.00
_cell_angle_beta 90.00
_cell_angle_gamma 116.50
_space_group_name_H-M_alt 'P 1'
_space_group_IT_number 1
loop_
_space_group_symop_operation_xyz
'x,y,z'
loop_
_atom_site_label
_atom_site_fract_x
_atom_site_fract_y
_atom_site_fract_z
Nd1 0.5000 0.5000 0.8009
Nd2 0.0000 0.0000 0.8009
Nd3 0.7517 0.7483 0.9253
Nd4 0.2518 0.7518 0.8711
Nd5 0.0000 0.0000 0.3258
Nd6 0.2482 0.7482 0.1289
Nd7 0.7704 0.2704 0.5831
Nd8 0.5000 0.5000 0.3258
Nd9 0.2483 0.2517 0.9253
Nd10 0.7483 0.7517 0.0747
Nd11 0.2744 0.2256 0.5599
Nd12 0.7296 0.2296 0.4169
Nd13 0.0000 0.0000 0.6742
Nd14 0.2256 0.2744 0.4401
Nd15 0.2517 0.2483 0.0747
Nd16 0.7744 0.7256 0.4401
Nd17 0.7256 0.7744 0.5599
Nd18 0.0000 0.0000 0.1991
Nd19 0.2296 0.7296 0.5831
Nd20 0.5000 0.5000 0.6742
Nd21 0.7482 0.2482 0.8711
Nd22 0.5000 0.5000 0.1991
Nd23 0.2704 0.7704 0.4169
Nd24 0.7518 0.2518 0.1289
Sm1 0.5000 0.0000 0.2671
Sm2 0.0000 0.5000 0.2729
Sm3 0.0000 0.5000 0.7329
Sm4 0.5000 0.0000 0.7271
Y1 0.5000 0.0000 0.9994
Y2 0.0000 0.5000 0.0006
```

The following is a DFT calculation (PBE) of Sr2ReSi2 after structural relaxation.

Calculated values
The value obtained for the uncorrected energy is -5.270 eV per atom. The calculation puts the uncorrected formation energy at 0.06 eV per atom. As for the density: 6.15 g/cm3.

Geometry as CIF:
```
data_Sr2ReSi2
_chemical_formula_sum 'Sr4 Re2 Si4'
_cell_length_a 6.7265
_cell_length_b 6.7265
_cell_length_c 4.9815
_cell_angle_alpha 90.00
_cell_angle_beta 90.00
_cell_angle_gamma 90.00
_space_group_name_H-M_alt 'P 1'
_space_group_IT_number 1
loop_
_space_group_symop_operation_xyz
'x,y,z'
loop_
_atom_site_label
_atom_site_fract_x
_atom_site_fract_y
_atom_site_fract_z
Re1 0.0000 0.0000 0.0000
Re2 0.5000 0.5000 0.0000
Si1 0.3590 0.8590 0.0000
Si2 0.8590 0.6410 0.0000
Si3 0.6410 0.1410 0.0000
Si4 0.1410 0.3590 0.0000
Sr1 0.1766 0.6766 0.5000
Sr2 0.6766 0.8234 0.5000
Sr3 0.8234 0.3234 0.5000
Sr4 0.3234 0.1766 0.5000
```

The following is a DFT calculation (PBE) of Zr2TaAgO8 after structural relaxation.

Calculated values
The value obtained for the uncorrected energy is -8.366 eV per atom. The calculation puts the uncorrected formation energy at -2.41 eV per atom. As for the density: 6.32 g/cm3.

Geometry as CIF:
```
data_Zr2TaAgO8
_chemical_formula_sum 'Zr2 Ta1 Ag1 O8'
_cell_length_a 4.8756
_cell_length_b 4.8739
_cell_length_c 6.6473
_cell_angle_alpha 86.66
_cell_angle_beta 93.33
_cell_angle_gamma 92.15
_space_group_name_H-M_alt 'P 1'
_space_group_IT_number 1
loop_
_space_group_symop_operation_xyz
'x,y,z'
loop_
_atom_site_label
_atom_site_fract_x
_atom_site_fract_y
_atom_site_fract_z
Zr1 0.4928 0.5075 0.7503
Zr2 0.5072 0.4925 0.2497
Ta1 0.0000 0.0000 0.0000
Ag1 0.0000 0.0000 0.5000
O1 0.2178 0.7815 0.1981
O2 0.7015 0.7021 0.0000
O3 0.8254 0.1751 0.2349
O4 0.7822 0.2185 0.8019
O5 0.2985 0.2979 0.0000
O6 0.1746 0.8249 0.7651
O7 0.6930 0.6935 0.4999
O8 0.3070 0.3065 0.5001
```

The following is a DFT calculation (PBE) of TiAgSn2 after structural relaxation.

Calculated values
The energy relative to the elements is 0.06 eV/f.u. The value obtained for the uncorrected energy is -4.674 eV per atom. As for the density: 7.31 g/cm3. The calculation puts the polymorph energy (0 for the lowest one) at 69 meV/atom.

Geometry as CIF:
```
data_TiAgSn2
_chemical_formula_sum 'Ti1 Ag1 Sn2'
_cell_length_a 3.1970
_cell_length_b 3.1970
_cell_length_c 10.2580
_cell_angle_alpha 81.04
_cell_angle_beta 81.04
_cell_angle_gamma 60.00
_space_group_name_H-M_alt 'P 1'
_space_group_IT_number 1
loop_
_space_group_symop_operation_xyz
'x,y,z'
loop_
_atom_site_label
_atom_site_fract_x
_atom_site_fract_y
_atom_site_fract_z
Sn1 0.0902 0.0902 0.7293
Sn2 0.9098 0.9098 0.2707
Ag1 0.0000 0.0000 0.0000
Ti1 0.5000 0.5000 0.5000
```

The following is a DFT calculation (PBE) of Ag3Mo2 after structural relaxation.

Calculated values
The energy relative to the elements is 2.47 eV/f.u. The value obtained for the uncorrected energy is -5.549 eV per atom. As for the density: 10.18 g/cm3.

Geometry as CIF:
```
data_Ag3Mo2
_chemical_formula_sum 'Ag3 Mo2'
_cell_length_a 12.3983
_cell_length_b 12.3983
_cell_length_c 12.3983
_cell_angle_alpha 13.02
_cell_angle_beta 13.02
_cell_angle_gamma 13.02
_space_group_name_H-M_alt 'P 1'
_space_group_IT_number 1
loop_
_space_group_symop_operation_xyz
'x,y,z'
loop_
_atom_site_label
_atom_site_fract_x
_atom_site_fract_y
_atom_site_fract_z
Ag1 0.0000 0.0000 0.0000
Ag2 0.7995 0.7995 0.7995
Ag3 0.2005 0.2005 0.2005
Mo1 0.6002 0.6002 0.6002
Mo2 0.3998 0.3998 0.3998
```

The following is a DFT calculation (PBE) of K2Sb3Se6 after structural relaxation.

Calculated values
The value obtained for the uncorrected energy is -3.776 eV per atom. The calculation puts the uncorrected formation energy at -0.55 eV per atom. As for the density: 4.35 g/cm3.

Geometry as CIF:
```
data_K2Sb3Se6
_chemical_formula_sum 'K2 Sb3 Se6'
_cell_length_a 7.0700
_cell_length_b 7.0698
_cell_length_c 8.4343
_cell_angle_alpha 81.94
_cell_angle_beta 73.72
_cell_angle_gamma 60.00
_space_group_name_H-M_alt 'P 1'
_space_group_IT_number 1
loop_
_space_group_symop_operation_xyz
'x,y,z'
loop_
_atom_site_label
_atom_site_fract_x
_atom_site_fract_y
_atom_site_fract_z
K1 0.1664 0.6672 0.5000
K2 0.8336 0.3328 0.5000
Sb1 0.0000 0.0000 0.0000
Sb2 0.3318 0.3364 0.0000
Sb3 0.6682 0.6636 0.0000
Se1 0.4010 0.6659 0.7969
Se2 0.7363 0.0000 0.7951
Se3 0.0669 0.3341 0.7969
Se4 0.2637 0.0000 0.2049
Se5 0.5990 0.3341 0.2031
Se6 0.9331 0.6659 0.2031
```

The following is a DFT calculation (PBE) of SrTiS2 after structural relaxation.

Calculated values
The value obtained for the uncorrected energy is -5.615 eV per atom. The calculation puts the uncorrected formation energy at -1.16 eV per atom. As for the density: 4.17 g/cm3. The calculation puts the polymorph energy (0 for the lowest one) at 169 meV/atom.

Geometry as CIF:
```
data_SrTiS2
_chemical_formula_sum 'Sr1 Ti1 S2'
_cell_length_a 4.8260
_cell_length_b 4.8260
_cell_length_c 4.8260
_cell_angle_alpha 60.00
_cell_angle_beta 60.00
_cell_angle_gamma 60.00
_space_group_name_H-M_alt 'P 1'
_space_group_IT_number 1
loop_
_space_group_symop_operation_xyz
'x,y,z'
loop_
_atom_site_label
_atom_site_fract_x
_atom_site_fract_y
_atom_site_fract_z
Sr1 0.5000 0.5000 0.5000
S1 0.2500 0.2500 0.2500
S2 0.7500 0.7500 0.7500
Ti1 0.0000 0.0000 0.0000
```

The following is a DFT calculation (PBE) of Sc2Mn2Ni after structural relaxation.

Calculated values
The energy relative to the elements is 0.31 eV/f.u. The value obtained for the uncorrected energy is -7.295 eV per atom. As for the density: 5.42 g/cm3. The calculation puts the polymorph energy (0 for the lowest one) at 85 meV/atom.

Geometry as CIF:
```
data_Sc2Mn2Ni
_chemical_formula_sum 'Sc2 Mn2 Ni1'
_cell_length_a 3.1761
_cell_length_b 3.1761
_cell_length_c 8.1710
_cell_angle_alpha 78.79
_cell_angle_beta 78.79
_cell_angle_gamma 90.00
_space_group_name_H-M_alt 'P 1'
_space_group_IT_number 1
loop_
_space_group_symop_operation_xyz
'x,y,z'
loop_
_atom_site_label
_atom_site_fract_x
_atom_site_fract_y
_atom_site_fract_z
Sc1 0.3990 0.3990 0.2020
Sc2 0.6010 0.6010 0.7980
Ni1 0.0000 0.0000 0.0000
Mn1 0.7500 0.2500 0.5000
Mn2 0.2500 0.7500 0.5000
```

Among the records above, which one has the highest uncorrected energy?
K2Sb3Se6